PBE with a Hubbard U Li4Mn3Ni3O12, relaxed; SG = P-1 (2); total moment = 13.00 μB per formula unit; total DFT energy (no corrections) = -128.87 eV/f.u.; DOS(E_F) = 0.51 states/eV/f.u.
1.0
-0.3373 5.8543 -0.1291
-4.9927 -0.5294 -3.1845
-1.8611 -1.4200 6.1176
Ni O Li Mn
3 12 4 3
direct
0.3371 0.8309 0.3368 Ni
0.6629 0.1691 0.6632 Ni
0.0000 0.5000 0.0000 Ni
0.2748 0.7357 0.0237 O
0.5986 0.5866 0.3106 O
0.9349 0.9301 0.6556 O
0.9225 0.3801 0.6680 O
0.7252 0.2643 0.9763 O
0.4014 0.4134 0.6894 O
0.5972 0.0482 0.3529 O
0.7462 0.7433 0.0282 O
0.4028 0.9518 0.6471 O
0.0775 0.6199 0.3320 O
0.2538 0.2567 0.9718 O
0.0651 0.0699 0.3444 O
0.0000 0.0000 0.0000 Li
0.5000 0.0000 0.0000 Li
0.8235 0.3404 0.3457 Li
0.1765 0.6596 0.6543 Li
0.8363 0.8276 0.3406 Mn
0.5000 0.5000 0.0000 Mn
0.1637 0.1724 0.6594 Mn